No. 1
Compound: SbRhW2
Source: Alexandria
Functional: PBEsol
Structure: optimized geometry

Summary:
VASP energy, eV/cell: -39.18
Mass density, g/cm3: 15.193

```
data_SbRhW2
_chemical_formula_sum 'Sb1 Rh1 W2'
_cell_length_a 4.4466
_cell_length_b 3.0623
_cell_length_c 4.8948
_cell_angle_alpha 90.00
_cell_angle_beta 103.75
_cell_angle_gamma 90.00
_symmetry_space_group_name_H-M 'P 1 2/m 1'
_symmetry_Int_Tables_number 10
loop_
_symmetry_equiv_pos_as_xyz
'x,y,z'
'-x,-y,-z'
'-x,y,-z'
'x,-y,z'
loop_
_atom_site_label
_atom_site_fract_x
_atom_site_fract_y
_atom_site_fract_z
Sb1 0.0000 0.0000 0.0000
Rh1 0.5000 0.5000 0.0000
W1 0.0000 0.5000 0.5000
W2 0.5000 0.0000 0.5000
```

---

No. 2
Compound: BeTlI2O
Source: Alexandria
Functional: PBEsol
Structure: optimized geometry

Summary:
VASP energy, eV/cell: -19.73
Mass density, g/cm3: 6.444

```
data_BeTlI2O
_chemical_formula_sum 'Be1 Tl1 I2 O1'
_cell_length_a 6.4134
_cell_length_b 6.4134
_cell_length_c 3.0272
_cell_angle_alpha 90.00
_cell_angle_beta 90.00
_cell_angle_gamma 90.00
_symmetry_space_group_name_H-M 'P 4/m m m'
_symmetry_Int_Tables_number 123
_symmetry_space_group_name_Hall '-P 4 2'
loop_
_atom_site_label
_atom_site_fract_x
_atom_site_fract_y
_atom_site_fract_z
Be1 0.0000 0.0000 0.0000
Tl1 0.5000 0.5000 0.5000
I1 0.0000 0.5000 0.0000
O1 0.0000 0.0000 0.5000
```

---

No. 3
Compound: Sb2MoRu
Source: Alexandria
Functional: PBEsol
Structure: optimized geometry

Summary:
VASP energy, eV/cell: -30.51
Mass density, g/cm3: 10.658
Polymorph energy (0 for the lowest one), meV per atom: 0

```
data_Sb2MoRu
_chemical_formula_sum 'Sb2 Mo1 Ru1'
_cell_length_a 3.2586
_cell_length_b 3.2586
_cell_length_c 6.4640
_cell_angle_alpha 90.00
_cell_angle_beta 90.00
_cell_angle_gamma 90.00
_symmetry_space_group_name_H-M 'P 4/m m m'
_symmetry_Int_Tables_number 123
_symmetry_space_group_name_Hall '-P 4 2'
loop_
_atom_site_label
_atom_site_fract_x
_atom_site_fract_y
_atom_site_fract_z
Sb1 0.0000 0.0000 0.2471
Mo1 0.5000 0.5000 0.0000
Ru1 0.5000 0.5000 0.5000
```

---

No. 4
Compound: ScCoSe2
Source: Alexandria
Functional: PBEsol
Structure: optimized geometry

Summary:
VASP energy, eV/cell: -76.45
Mass density, g/cm3: 6.183
Polymorph energy (0 for the lowest one), meV per atom: 0

```
data_ScCoSe2
_chemical_formula_sum 'Sc3 Co3 Se6'
_cell_length_a 3.7934
_cell_length_b 3.7934
_cell_length_c 16.9268
_cell_angle_alpha 90.00
_cell_angle_beta 90.00
_cell_angle_gamma 120.00
_symmetry_space_group_name_H-M 'R -3 m'
_symmetry_Int_Tables_number 166
_symmetry_space_group_name_Hall '-R 3 2"'
loop_
_atom_site_label
_atom_site_fract_x
_atom_site_fract_y
_atom_site_fract_z
Sc1 0.0000 0.0000 0.0000
Co1 0.0000 0.0000 0.5000
Se1 0.0000 0.0000 0.2407
```

---

No. 5
Compound: BeCoNi2
Source: Alexandria
Functional: PBEsol
Structure: optimized geometry

Summary:
ΔH_f (0 K), kJ/mol of formula units: -43
VASP energy, eV/cell: -24.50
Mass density, g/cm3: 7.942

```
data_BeCoNi2
_chemical_formula_sum 'Be1 Co1 Ni2'
_cell_length_a 2.4437
_cell_length_b 3.2360
_cell_length_c 4.9004
_cell_angle_alpha 90.00
_cell_angle_beta 90.00
_cell_angle_gamma 90.00
_symmetry_space_group_name_H-M 'P m m 2'
_symmetry_Int_Tables_number 25
loop_
_symmetry_equiv_pos_as_xyz
'x,y,z'
'-x,-y,z'
'-x,y,z'
'x,-y,z'
loop_
_atom_site_label
_atom_site_fract_x
_atom_site_fract_y
_atom_site_fract_z
Be1 0.0000 0.0000 0.0000
Co1 0.5000 0.5000 0.2532
Ni1 0.0000 0.0000 0.5008
Ni2 0.5000 0.5000 0.7733
```

---

No. 6
Compound: SmGdS3
Source: Alexandria
Functional: PBEsol
Structure: optimized geometry

Summary:
VASP energy, eV/cell: -173.75
Mass density, g/cm3: 6.211

```
data_SmGdS3
_chemical_formula_sum 'Sm4 Gd4 S12'
_cell_length_a 7.2740
_cell_length_b 3.9232
_cell_length_c 15.1327
_cell_angle_alpha 90.00
_cell_angle_beta 90.00
_cell_angle_gamma 90.00
_symmetry_space_group_name_H-M 'P n m a'
_symmetry_Int_Tables_number 62
loop_
_symmetry_equiv_pos_as_xyz
'x,y,z'
'-x,-y,-z'
'-x+1/2,-y,z+1/2'
'x+1/2,y,-z+1/2'
'x+1/2,-y+1/2,-z+1/2'
'-x+1/2,y+1/2,z+1/2'
'-x,y+1/2,-z'
'x,-y+1/2,z'
loop_
_atom_site_label
_atom_site_fract_x
_atom_site_fract_y
_atom_site_fract_z
Sm1 0.1417 0.2500 0.2036
Gd1 0.2333 0.7500 0.4569
S1 0.0076 0.2500 0.3915
S2 0.1254 0.7500 0.0657
S3 0.1473 0.2500 0.7822
```

---

No. 7
Compound: Fe2PdWI
Source: Alexandria
Functional: PBEsol
Structure: optimized geometry

Summary:
VASP energy, eV/cell: -31.05
Mass density, g/cm3: 8.560

```
data_Fe2PdWI
_chemical_formula_sum 'Fe2 Pd1 W1 I1'
_cell_length_a 4.4406
_cell_length_b 4.4406
_cell_length_c 5.2024
_cell_angle_alpha 90.00
_cell_angle_beta 90.00
_cell_angle_gamma 90.00
_symmetry_space_group_name_H-M 'P 4/m m m'
_symmetry_Int_Tables_number 123
_symmetry_space_group_name_Hall '-P 4 2'
loop_
_atom_site_label
_atom_site_fract_x
_atom_site_fract_y
_atom_site_fract_z
Fe1 0.0000 0.5000 0.0000
Pd1 0.0000 0.0000 0.5000
W1 0.5000 0.5000 0.0000
I1 0.5000 0.5000 0.5000
```

---

No. 8
Compound: YNiGe3
Source: Alexandria
Functional: PBEsol
Structure: optimized geometry

Summary:
ΔH_f (0 K), kJ/mol of formula units: -317
VASP energy, eV/cell: -124.32
Mass density, g/cm3: 6.950

```
data_YNiGe3
_chemical_formula_sum 'Y4 Ni4 Ge12'
_cell_length_a 4.0399
_cell_length_b 21.4309
_cell_length_c 4.0349
_cell_angle_alpha 90.00
_cell_angle_beta 90.00
_cell_angle_gamma 90.00
_symmetry_space_group_name_H-M 'C m m m'
_symmetry_Int_Tables_number 65
_symmetry_space_group_name_Hall '-C 2 2'
loop_
_atom_site_label
_atom_site_fract_x
_atom_site_fract_y
_atom_site_fract_z
Y1 0.0000 0.1690 0.0000
Ni1 0.0000 0.3893 0.5000
Ge1 0.0000 0.0574 0.5000
Ge2 0.0000 0.2836 0.5000
Ge3 0.0000 0.4427 0.0000
```

---

No. 9
Compound: ZnFe2O4
Source: Alexandria
Functional: PBEsol
Structure: optimized geometry

Summary:
VASP energy, eV/cell: -196.39
Mass density, g/cm3: 5.745
Polymorph energy (0 for the lowest one), meV per atom: 69

```
data_ZnFe2O4
_chemical_formula_sum 'Zn4 Fe8 O16'
_cell_length_a 5.6879
_cell_length_b 5.8148
_cell_length_c 8.4274
_cell_angle_alpha 90.00
_cell_angle_beta 90.00
_cell_angle_gamma 90.00
_symmetry_space_group_name_H-M 'I m m a'
_symmetry_Int_Tables_number 74
_symmetry_space_group_name_Hall '-I 2b 2'
loop_
_atom_site_label
_atom_site_fract_x
_atom_site_fract_y
_atom_site_fract_z
Zn1 0.0000 0.0000 0.0000
Fe1 0.0000 0.2500 0.3839
Fe2 0.2500 0.2500 0.7500
O1 0.0000 0.0250 0.7477
O2 0.2461 0.2500 0.9760
```

---

No. 10
Compound: BaSr3Sc
Source: Alexandria
Functional: PBEsol
Structure: optimized geometry

Summary:
ΔH_f (0 K), kJ/mol of formula units: 229
VASP energy, eV/cell: -11.90
Mass density, g/cm3: 2.785

```
data_BaSr3Sc
_chemical_formula_sum 'Ba1 Sr3 Sc1'
_cell_length_a 6.4266
_cell_length_b 6.4266
_cell_length_c 6.4266
_cell_angle_alpha 90.00
_cell_angle_beta 90.00
_cell_angle_gamma 90.00
_symmetry_space_group_name_H-M 'P m -3 m'
_symmetry_Int_Tables_number 221
_symmetry_space_group_name_Hall '-P 4 2 3'
loop_
_atom_site_label
_atom_site_fract_x
_atom_site_fract_y
_atom_site_fract_z
Ba1 0.0000 0.0000 0.0000
Sr1 0.0000 0.5000 0.5000
Sc1 0.5000 0.5000 0.5000
```

---

No. 11
Compound: TaRu2Rh
Source: Alexandria
Functional: PBEsol
Structure: optimized geometry

Summary:
ΔH_f (0 K), kJ/mol of formula units: 2
VASP energy, eV/cell: -41.01
Mass density, g/cm3: 13.768
Polymorph energy (0 for the lowest one), meV per atom: 331

```
data_TaRu2Rh
_chemical_formula_sum 'Ta1 Ru2 Rh1'
_cell_length_a 3.2557
_cell_length_b 3.2557
_cell_length_c 5.5299
_cell_angle_alpha 90.00
_cell_angle_beta 90.00
_cell_angle_gamma 90.00
_symmetry_space_group_name_H-M 'P 4 m m'
_symmetry_Int_Tables_number 99
loop_
_symmetry_equiv_pos_as_xyz
'x,y,z'
'-y,x,z'
'-x,-y,z'
'y,-x,z'
'-x,y,z'
'y,x,z'
'x,-y,z'
'-y,-x,z'
loop_
_atom_site_label
_atom_site_fract_x
_atom_site_fract_y
_atom_site_fract_z
Ta1 0.0000 0.0000 0.0000
Ru1 0.0000 0.0000 0.5103
Ru2 0.5000 0.5000 0.7292
Rh1 0.5000 0.5000 0.2458
```

---

No. 12
Compound: TlCdHg4
Source: Alexandria
Functional: PBEsol
Structure: optimized geometry

Summary:
ΔH_f (0 K), kJ/mol of formula units: 44
VASP energy, eV/cell: -22.54
Mass density, g/cm3: 12.427

```
data_TlCdHg4
_chemical_formula_sum 'Tl4 Cd4 Hg16'
_cell_length_a 8.4259
_cell_length_b 8.4259
_cell_length_c 8.4259
_cell_angle_alpha 90.00
_cell_angle_beta 90.00
_cell_angle_gamma 90.00
_symmetry_space_group_name_H-M 'F -4 3 m'
_symmetry_Int_Tables_number 216
_symmetry_space_group_name_Hall 'F -4 2 3'
loop_
_atom_site_label
_atom_site_fract_x
_atom_site_fract_y
_atom_site_fract_z
Tl1 0.0000 0.0000 0.0000
Cd1 0.2500 0.2500 0.7500
Hg1 0.1249 0.1249 0.3751
```

---

No. 13
Compound: NdGeRu
Source: Alexandria
Functional: PBEsol
Structure: optimized geometry

Summary:
ΔH_f (0 K), kJ/mol of formula units: -194
VASP energy, eV/cell: -44.58
Mass density, g/cm3: 8.597

```
data_NdGeRu
_chemical_formula_sum 'Nd2 Ge2 Ru2'
_cell_length_a 4.2410
_cell_length_b 4.2410
_cell_length_c 6.8288
_cell_angle_alpha 90.00
_cell_angle_beta 90.00
_cell_angle_gamma 90.00
_symmetry_space_group_name_H-M 'P 4/n m m'
_symmetry_Int_Tables_number 129
loop_
_symmetry_equiv_pos_as_xyz
'x,y,z'
'-x,-y,-z'
'-y+1/2,x,z'
'y+1/2,-x,-z'
'-x+1/2,-y+1/2,z'
'x+1/2,y+1/2,-z'
'y,-x+1/2,z'
'-y,x+1/2,-z'
'x+1/2,-y,-z'
'-x+1/2,y,z'
'-y,-x,-z'
'y,x,z'
'-x,y+1/2,-z'
'x,-y+1/2,z'
'y+1/2,x+1/2,-z'
'-y+1/2,-x+1/2,z'
loop_
_atom_site_label
_atom_site_fract_x
_atom_site_fract_y
_atom_site_fract_z
Nd1 0.2500 0.2500 0.1839
Ge1 0.2500 0.2500 0.6928
Ru1 0.2500 0.7500 0.5000
```

---

No. 14
Compound: SmMgHg2
Source: Alexandria
Functional: PBEsol
Structure: optimized geometry

Summary:
ΔH_f (0 K), kJ/mol of formula units: -219
VASP energy, eV/cell: -40.84
Mass density, g/cm3: 10.480

```
data_SmMgHg2
_chemical_formula_sum 'Sm4 Mg4 Hg8'
_cell_length_a 7.1464
_cell_length_b 7.1464
_cell_length_c 7.1464
_cell_angle_alpha 90.00
_cell_angle_beta 90.00
_cell_angle_gamma 90.00
_symmetry_space_group_name_H-M 'F m -3 m'
_symmetry_Int_Tables_number 225
_symmetry_space_group_name_Hall '-F 4 2 3'
loop_
_atom_site_label
_atom_site_fract_x
_atom_site_fract_y
_atom_site_fract_z
Sm1 0.0000 0.0000 0.0000
Mg1 0.0000 0.0000 0.5000
Hg1 0.2500 0.2500 0.2500
```

---

No. 15
Compound: CdAgOs2
Source: Alexandria
Functional: PBEsol
Structure: optimized geometry

Summary:
ΔH_f (0 K), kJ/mol of formula units: 152
VASP energy, eV/cell: -27.37
Mass density, g/cm3: 15.679

```
data_CdAgOs2
_chemical_formula_sum 'Cd1 Ag1 Os2'
_cell_length_a 2.8013
_cell_length_b 3.7664
_cell_length_c 6.0301
_cell_angle_alpha 90.00
_cell_angle_beta 90.00
_cell_angle_gamma 90.00
_symmetry_space_group_name_H-M 'P m m 2'
_symmetry_Int_Tables_number 25
loop_
_symmetry_equiv_pos_as_xyz
'x,y,z'
'-x,-y,z'
'-x,y,z'
'x,-y,z'
loop_
_atom_site_label
_atom_site_fract_x
_atom_site_fract_y
_atom_site_fract_z
Cd1 0.0000 0.0000 0.0000
Ag1 0.5000 0.5000 0.7535
Os1 0.0000 0.0000 0.4718
Os2 0.5000 0.5000 0.2943
```

---

No. 16
Compound: AsRh
Source: Alexandria
Functional: PBEsol
Structure: optimized geometry

Summary:
ΔH_f (0 K), kJ/mol of formula units: -48
VASP energy, eV/cell: -41.23
Mass density, g/cm3: 10.052

```
data_AsRh
_chemical_formula_sum 'As3 Rh3'
_cell_length_a 2.9737
_cell_length_b 2.9737
_cell_length_c 11.5083
_cell_angle_alpha 90.00
_cell_angle_beta 90.00
_cell_angle_gamma 120.00
_symmetry_space_group_name_H-M 'R -3 m'
_symmetry_Int_Tables_number 166
_symmetry_space_group_name_Hall '-R 3 2"'
loop_
_atom_site_label
_atom_site_fract_x
_atom_site_fract_y
_atom_site_fract_z
As1 0.0000 0.0000 0.0000
Rh1 0.0000 0.0000 0.5000
```

---

No. 17
Compound: ZrBe2InIr
Source: Alexandria
Functional: PBEsol
Structure: optimized geometry

Summary:
ΔH_f (0 K), kJ/mol of formula units: 974
VASP energy, eV/cell: -19.80
Mass density, g/cm3: 7.044

```
data_ZrBe2InIr
_chemical_formula_sum 'Zr1 Be2 In1 Ir1'
_cell_length_a 4.3326
_cell_length_b 4.3326
_cell_length_c 5.2279
_cell_angle_alpha 90.00
_cell_angle_beta 90.00
_cell_angle_gamma 90.00
_symmetry_space_group_name_H-M 'P 4/m m m'
_symmetry_Int_Tables_number 123
_symmetry_space_group_name_Hall '-P 4 2'
loop_
_atom_site_label
_atom_site_fract_x
_atom_site_fract_y
_atom_site_fract_z
Zr1 0.0000 0.0000 0.0000
Be1 0.0000 0.5000 0.0000
In1 0.0000 0.0000 0.5000
Ir1 0.5000 0.5000 0.5000
```

---

No. 18
Compound: Ta3FeH
Source: Alexandria
Functional: PBEsol
Structure: optimized geometry

Summary:
VASP energy, eV/cell: -49.18
Mass density, g/cm3: 14.761

```
data_Ta3FeH
_chemical_formula_sum 'Ta3 Fe1 H1'
_cell_length_a 4.0709
_cell_length_b 4.0709
_cell_length_c 4.0709
_cell_angle_alpha 90.00
_cell_angle_beta 90.00
_cell_angle_gamma 90.00
_symmetry_space_group_name_H-M 'P m -3 m'
_symmetry_Int_Tables_number 221
_symmetry_space_group_name_Hall '-P 4 2 3'
loop_
_atom_site_label
_atom_site_fract_x
_atom_site_fract_y
_atom_site_fract_z
Ta1 0.0000 0.0000 0.5000
Fe1 0.5000 0.5000 0.5000
H1 0.0000 0.0000 0.0000
```

---

No. 19
Compound: YIn2Co
Source: Alexandria
Functional: PBEsol
Structure: optimized geometry

Summary:
ΔH_f (0 K), kJ/mol of formula units: -69
VASP energy, eV/cell: -21.24
Mass density, g/cm3: 8.048

```
data_YIn2Co
_chemical_formula_sum 'Y1 In2 Co1'
_cell_length_a 3.2300
_cell_length_b 3.2300
_cell_length_c 7.4650
_cell_angle_alpha 90.00
_cell_angle_beta 90.00
_cell_angle_gamma 90.00
_symmetry_space_group_name_H-M 'P 4/m m m'
_symmetry_Int_Tables_number 123
_symmetry_space_group_name_Hall '-P 4 2'
loop_
_atom_site_label
_atom_site_fract_x
_atom_site_fract_y
_atom_site_fract_z
Y1 0.0000 0.0000 0.0000
In1 0.5000 0.5000 0.3020
Co1 0.0000 0.0000 0.5000
```

---

No. 20
Compound: ScTa2Sb
Source: Alexandria
Functional: PBEsol
Structure: optimized geometry

Summary:
VASP energy, eV/cell: -73.17
Mass density, g/cm3: 11.512

```
data_ScTa2Sb
_chemical_formula_sum 'Sc2 Ta4 Sb2'
_cell_length_a 4.0287
_cell_length_b 4.0287
_cell_length_c 9.3958
_cell_angle_alpha 90.00
_cell_angle_beta 90.00
_cell_angle_gamma 90.00
_symmetry_space_group_name_H-M 'I 4/m m m'
_symmetry_Int_Tables_number 139
_symmetry_space_group_name_Hall '-I 4 2'
loop_
_atom_site_label
_atom_site_fract_x
_atom_site_fract_y
_atom_site_fract_z
Sc1 0.0000 0.0000 0.0000
Ta1 0.0000 0.5000 0.2500
Sb1 0.0000 0.0000 0.5000
```